CaLa4Rh | PBE | relaxed

Values from the calculation:
- Calculated total energy: -5.0414 eV per atom
- Fermi-level density of states: 18.35 states/eV/cell
- Calculated density: 5.48 Mg/m³
- DFT formation energy: -0.1976 eV per atom
- Volume: 211.8 Å³/f.u.
- Offset from the most stable computed form: 0.0 meV/atom
- Space-group type: C2/m, No. 12

Geometry as POSCAR:
```
CaLa4Rh
1.0
6.439 0.000 -0.546
0.000 7.596 0.000
-2.475 -3.798 8.869
La Rh Ca
8 2 2
Cartesian
0.000 5.876 0.000
0.261 3.798 2.984
3.398 1.884 1.595
0.000 1.720 0.000
3.398 5.712 1.595
0.566 -1.914 6.728
3.703 0.000 5.339
0.566 1.914 6.728
2.139 0.000 8.379
1.825 3.798 -0.056
0.294 0.000 3.436
3.669 3.798 4.887
```